VASP calculation (PBE-GGA) on an optimized crystal structure of TcGeMo3.

Offset from the most stable computed form ... 0.00 eV/f.u.
Total magnetization ... 0.00 μB per formula unit
Symmetry ... Pm-3m, No. 221
Final energy ... -0.5855 Ry per atom
Formation energy from the elements ... 1.5298 eV/atom

Cell and atoms, written as POSCAR:
```
TcGeMo3
1.0
-2.1570 2.3040 3.2522
-3.9667 -1.6008 -1.4968
0.3878 -3.5591 2.7786
Mo Ge Tc
3 1 1
direct
0.0000 0.5000 0.0000
0.0000 0.0000 0.5000
0.5000 0.0000 0.0000
0.0000 0.0000 0.0000
0.5000 0.5000 0.5000
```